(1)
Entry from the Alexandria database: a relaxed ReAg crystal (GGA-PBE).

Computed properties:
As for the density of states at the Fermi level: 7.88 states/eV per cell. As for the formation enthalpy at 0 K: 1.23 eV per formula unit. The calculation puts the total magnetization at 0.00 μB per formula unit. The value obtained for the theoretical density is 15.19 g cm⁻³. The energy above the most stable polymorph in this dataset is 367 meV per atom.

a b c (Å): 2.757 13.545 5.167
angles (deg): 90.00 90.00 90.00
Space group Pmmn (No. 59, origin choice 2)
One atom of each set of equivalent atoms:
Re 0.250 0.083 0.061 [4 per cell]
Re 0.250 0.750 0.797 [2 per cell]
Ag 0.250 0.250 0.716 [2 per cell]
Ag 0.250 0.584 0.437 [4 per cell]



(2)
Entry from the Alexandria database: a relaxed NaGaAg2 crystal (GGA-PBE).

Computed properties:
As for the density of states at the Fermi level: 2.39 states/eV per cell. As for the formation enthalpy at 0 K: -0.17 eV per formula unit. The calculation puts the total magnetization at 0.00 μB per formula unit. The value obtained for the theoretical density is 6.23 g cm⁻³.

a b c (Å): 4.348 7.459 5.517
angles (deg): 90.00 113.11 90.00
Space group P2_1/m (No. 11)
One atom of each set of equivalent atoms:
Na 0.063 0.250 0.125 [2 per cell]
Ga 0.228 0.750 0.457 [2 per cell]
Ag 0.360 0.058 0.718 [4 per cell]



(3)
Entry from the Alexandria database: a relaxed LiAl2Te crystal (GGA-PBE).

Computed properties:
As for the density of states at the Fermi level: 7.74 states/eV per cell. The calculation puts the final energy at -49.4 eV for the cell shown. The calculation puts the total magnetization at 0.00 μB per formula unit. The value obtained for the theoretical density is 3.76 g cm⁻³.

a b c (Å): 6.933 6.933 6.933
angles (deg): 90.00 90.00 90.00
Space group F-43m (No. 216)
One atom of each set of equivalent atoms:
Li 0.000 0.000 0.000 [4 per cell]
Al 0.000 0.000 0.500 [4 per cell]
Al 0.250 0.250 0.750 [4 per cell]
Te 0.250 0.250 0.250 [4 per cell]



Question: Which formula does entry 2 have?
Answer: NaGaAg2